5
Lattice="-2.302 2.302 5.388 2.302 -2.302 5.388 2.302 2.302 -5.388" Properties=species:S:1:pos:R:3 comment="Sc2HgAu2 (PBE, relaxed)" crystal_system=tetragonal e_form_kj_per_mol_atoms=-37 pbc="T T T"
Sc 2.302 0.000 2.694
Sc 0.000 2.302 2.694
Hg 0.000 0.000 0.000
Au 0.000 0.000 4.085
Au 0.000 0.000 6.690